# CaDy3S4 PBE relaxed
data_CaDy3S4
_space_group_name_H-M_alt 'I 4/m m m'
_space_group_IT_number 139
_space_group_name_Hall '-I 4 2'
_cell_length_a 5.5426
_cell_length_b 5.5426
_cell_length_c 11.1291
_cell_angle_alpha 90.00
_cell_angle_beta 90.00
_cell_angle_gamma 90.00
loop_
_atom_site_label
_atom_site_fract_x
_atom_site_fract_y
_atom_site_fract_z
Ca1 0.0000 0.0000 0.0000
Dy1 0.0000 0.0000 0.5000
Dy2 0.0000 0.5000 0.2500
S1 0.0000 0.0000 0.2489
S2 0.0000 0.5000 0.0000
# Formation energy without anion corrections ... -2.03 eV per atom
# Magnetization ... 0.00 μB/f.u.
# Density of states at the Fermi level ... 1.5 states/eV/f.u.
# Crystal system ... tetragonal


# LiTcSe3 PBE relaxed
data_LiTcSe3
_space_group_name_H-M_alt 'P m -3 m'
_space_group_IT_number 221
_space_group_name_Hall '-P 4 2 3'
_cell_length_a 4.9605
_cell_length_b 4.9605
_cell_length_c 4.9605
_cell_angle_alpha 90.00
_cell_angle_beta 90.00
_cell_angle_gamma 90.00
loop_
_atom_site_label
_atom_site_fract_x
_atom_site_fract_y
_atom_site_fract_z
Li1 0.0000 0.0000 0.0000
Tc1 0.5000 0.5000 0.5000
Se1 0.0000 0.5000 0.5000
# Formation energy without anion corrections ... 0.03 eV per atom
# Magnetization ... 1.35 μB/f.u.
# Density of states at the Fermi level ... 5.5 states/eV/f.u.
# Crystal system ... cubic


# V2Mo2Os PBE relaxed
data_V2Mo2Os
_space_group_name_H-M_alt 'C 1 2/m 1'
_space_group_IT_number 12
_space_group_name_Hall '-C 2y'
_cell_length_a 12.7065
_cell_length_b 4.2809
_cell_length_c 2.7104
_cell_angle_alpha 90.00
_cell_angle_beta 98.81
_cell_angle_gamma 90.00
loop_
_atom_site_label
_atom_site_fract_x
_atom_site_fract_y
_atom_site_fract_z
V1 0.0958 0.0000 0.4094
Mo1 0.1999 0.5000 0.7999
Os1 0.0000 0.5000 0.0000
# Magnetization ... 0.00 μB/f.u.
# Density of states at the Fermi level ... 3.5 states/eV/f.u.
# E_form ... -0.149 eV/atom
# Crystal system ... monoclinic


# LuCdRh2 PBE relaxed
data_LuCdRh2
_space_group_name_H-M_alt 'F m -3 m'
_space_group_IT_number 225
_space_group_name_Hall '-F 4 2 3'
_cell_length_a 6.5609
_cell_length_b 6.5609
_cell_length_c 6.5609
_cell_angle_alpha 90.00
_cell_angle_beta 90.00
_cell_angle_gamma 90.00
loop_
_atom_site_label
_atom_site_fract_x
_atom_site_fract_y
_atom_site_fract_z
Lu1 0.0000 0.0000 0.0000
Cd1 0.0000 0.0000 0.5000
Rh1 0.2500 0.2500 0.2500
# Magnetization ... 0.00 μB/f.u.
# Density of states at the Fermi level ... 2.0 states/eV/f.u.
# E_form ... -0.637 eV/atom
# Crystal system ... cubic


# PmThCuHg PBE relaxed
data_PmThCuHg
_space_group_name_H-M_alt 'F -4 3 m'
_space_group_IT_number 216
_space_group_name_Hall 'F -4 2 3'
_cell_length_a 7.4284
_cell_length_b 7.4284
_cell_length_c 7.4284
_cell_angle_alpha 90.00
_cell_angle_beta 90.00
_cell_angle_gamma 90.00
loop_
_atom_site_label
_atom_site_fract_x
_atom_site_fract_y
_atom_site_fract_z
Pm1 0.0000 0.0000 0.0000
Th1 0.0000 0.0000 0.5000
Cu1 0.2500 0.2500 0.2500
Hg1 0.2500 0.2500 0.7500
# Magnetization ... 0.00 μB/f.u.
# Density of states at the Fermi level ... 4.5 states/eV/f.u.
# E_form ... -0.158 eV/atom
# Crystal system ... cubic


# BaYTe PBE relaxed
data_BaYTe
_space_group_name_H-M_alt 'I 4 m m'
_space_group_IT_number 107
_space_group_name_Hall 'I 4 -2'
_cell_length_a 4.0593
_cell_length_b 4.0593
_cell_length_c 13.7214
_cell_angle_alpha 90.00
_cell_angle_beta 90.00
_cell_angle_gamma 90.00
loop_
_atom_site_label
_atom_site_fract_x
_atom_site_fract_y
_atom_site_fract_z
Ba1 0.0000 0.0000 0.0000
Y1 0.0000 0.0000 0.7097
Te1 0.0000 0.0000 0.3100
# Formation energy without anion corrections ... -0.79 eV per atom
# Magnetization ... 0.96 μB/f.u.
# Density of states at the Fermi level ... 2.9 states/eV/f.u.
# Crystal system ... tetragonal


# TlSn5Au2 PBE relaxed
data_TlSn5Au2
_space_group_name_H-M_alt 'I m m m'
_space_group_IT_number 71
_space_group_name_Hall '-I 2 2'
_cell_length_a 4.2838
_cell_length_b 7.1520
_cell_length_c 14.2268
_cell_angle_alpha 90.00
_cell_angle_beta 90.00
_cell_angle_gamma 90.00
loop_
_atom_site_label
_atom_site_fract_x
_atom_site_fract_y
_atom_site_fract_z
Tl1 0.0000 0.0000 0.0000
Sn1 0.0000 0.2483 0.3571
Sn2 0.0000 0.5000 0.0000
Au1 0.0000 0.5000 0.2026
# Magnetization ... 0.00 μB/f.u.
# Density of states at the Fermi level ... 3.1 states/eV/f.u.
# E_form ... -0.044 eV/atom
# Crystal system ... orthorhombic


# Nb6CoN PBE relaxed
data_Nb6CoN
_space_group_name_H-M_alt 'P -1'
_space_group_IT_number 2
_space_group_name_Hall '-P 1'
_cell_length_a 4.8449
_cell_length_b 5.2879
_cell_length_c 5.4153
_cell_angle_alpha 96.38
_cell_angle_beta 111.22
_cell_angle_gamma 90.86
loop_
_atom_site_label
_atom_site_fract_x
_atom_site_fract_y
_atom_site_fract_z
Nb1 0.0658 0.2863 0.1480
Nb2 0.2130 0.8468 0.4475
Nb3 0.4073 0.3923 0.7459
Co1 0.5000 0.0000 0.0000
N1 0.0000 0.5000 0.5000
# Formation energy without anion corrections ... -0.21 eV per atom
# Magnetization ... 0.00 μB/f.u.
# Density of states at the Fermi level ... 8.4 states/eV/f.u.
# Crystal system ... triclinic